## ScPaGe2 (PBE)

Data for an optimized crystal structure of ScPaGe2.

The space group is P4/mmm (No. 123) and the conventional cell measures 4.571, 4.571 and 3.964 Å, with angles of 90.00, 90.00 and 90.00 degrees. Symmetry generates all atoms from Sc at (0.000, 0.000, 0.000), Pa at (0.500, 0.500, 0.000) and Ge at (0.000, 0.500, 0.500).

The formation enthalpy at 0 K comes out at -0.470 eV per atom. For the energy above the most stable polymorph in this dataset, the calculation gives 93 meV/atom.

***

## BeFePS2 (PBE)

Data for an optimized crystal structure of BeFePS2.

The space group is P4/mmm (No. 123) and the conventional cell measures 4.554, 4.554 and 4.154 Å, with angles of 90.00, 90.00 and 90.00 degrees. Symmetry generates all atoms from Be at (0.000, 0.000, 0.000), Fe at (0.500, 0.500, 0.500), P at (0.500, 0.500, 0.000) and S at (0.000, 0.500, 0.500).

As for the uncorrected formation energy: 75 kJ per mole of atoms. For the energy above the most stable polymorph in this dataset, the calculation gives 86 meV/atom.

***

## Th2ZnAg (PBE)

Data for an optimized crystal structure of Th2ZnAg.

The space group is R3m (No. 160, hexagonal axes) and the conventional cell measures 4.6227, 4.6227 and 17.4076 Å, with angles of 90.00, 90.00 and 120.00 degrees. Symmetry generates all atoms from Th at (0.0000, 0.0000, 0.0000), Th at (0.0000, 0.0000, 0.1952), Zn at (0.0000, 0.0000, 0.4189) and Ag at (0.0000, 0.0000, 0.7723).

The formation enthalpy at 0 K comes out at 0.053 eV per atom.

***

## PaCo4 (PBE)

Data for an optimized crystal structure of PaCo4.

The space group is I-43m (No. 217) and the conventional cell measures 8.232, 8.232 and 8.232 Å, with angles of 90.00, 90.00 and 90.00 degrees. Symmetry generates all atoms from Pa at (0.232, 0.232, 0.768), Co at (0.000, 0.000, 0.350), Co at (0.000, 0.250, 0.500) and Co at (0.100, 0.100, 0.100).

The formation enthalpy at 0 K comes out at -0.127 eV per atom. For the energy above the most stable polymorph in this dataset, the calculation gives 33 meV/atom.

***

## K2MnTe2 (PBE)

Data for an optimized crystal structure of K2MnTe2.

The space group is Ibam (No. 72) and the conventional cell measures 7.493, 14.275 and 6.998 Å, with angles of 90.00, 90.00 and 90.00 degrees. Symmetry generates all atoms from K at (0.177, 0.142, 0.000), Mn at (0.000, 0.500, 0.250) and Te at (0.198, 0.392, 0.000).

As for the uncorrected formation energy: -73 kJ per mole of atoms. For the energy above the most stable polymorph in this dataset, the calculation gives 0 meV/atom.

***

## Na3LiTl3Br8 (PBE)

Data for an optimized crystal structure of Na3LiTl3Br8.

The space group is R-3m (No. 166, hexagonal axes) and the conventional cell measures 8.7323, 8.7323 and 22.0638 Å, with angles of 90.00, 90.00 and 120.00 degrees. Symmetry generates all atoms from Na at (0.0000, 0.5000, 0.0000), Li at (0.0000, 0.0000, 0.0000), Tl at (0.0000, 0.5000, 0.5000), Br at (0.0000, 0.0000, 0.2607) and Br at (0.0225, 0.5113, 0.7371).

As for the uncorrected formation energy: -109 kJ per mole of atoms.

***

For the records above, the corresponding calculated volume values read 83, 86, 322, 558, 748, 1457 Å³/cell.
For the records above, the corresponding E values read -6.7350, -4.3924, -4.6881, -7.7108, -4.2910, -2.8827 eV per atom.